Entry 1:
Below is a geometry-optimized TbPrYTh structure, with properties calculated at the GGA-PBE level.

## Properties
total moment	0.00	μB/f.u.
V	132	Å³/cell
distance to the lowest polymorph of the same formula	0	meV/atom

a = 11.8494 Å, b = 11.8494 Å, c = 11.8494 Å
α = 17.56°, β = 17.56°, γ = 17.56°
Sites, in units of the cell vectors:
1 Tb 0.0000 0.0000 0.0000
2 Pr 0.2474 0.2474 0.2474
3 Y 0.8272 0.8272 0.8272
4 Th 0.4132 0.4132 0.4132

=====

Entry 2:
Below is a geometry-optimized Tb2Pr2Y4Th structure, with properties calculated at the GGA-PBE level.

## Properties
total moment	0.00	μB/f.u.
V	298	Å³/cell
VASP energy	-5.786	eV/atom

a = 9.6284 Å, b = 9.6284 Å, c = 9.6322 Å
α = 115.36°, β = 115.36°, γ = 21.74°
Sites, in units of the cell vectors:
1 Tb 0.1475 0.1475 0.1627
2 Tb 0.8525 0.8525 0.8373
3 Pr 0.3365 0.3365 0.4987
4 Pr 0.6635 0.6635 0.5013
5 Y 0.1843 0.1843 0.8344
6 Y 0.4816 0.4816 0.1700
7 Y 0.5184 0.5184 0.8300
8 Y 0.8157 0.8157 0.1656
9 Th 0.0000 0.0000 0.5000

=====

Entry 3:
Below is a geometry-optimized TbPrTi structure, with properties calculated at the GGA-PBE level.

## Properties
total moment	0.00	μB/f.u.
V	170	Å³/cell
VASP energy	-5.668	eV/atom

a = 3.6038 Å, b = 3.6038 Å, c = 13.1064 Å
α = 90.00°, β = 90.00°, γ = 90.00°
Sites, in units of the cell vectors:
1 Tb 0.2500 0.2500 0.1921
2 Tb 0.7500 0.7500 0.8079
3 Pr 0.2500 0.2500 0.6014
4 Pr 0.7500 0.7500 0.3986
5 Ti 0.2500 0.2500 0.9583
6 Ti 0.7500 0.7500 0.0417

=====

Entry 4:
Below is a geometry-optimized Tb2Pr3Tl structure, with properties calculated at the GGA-PBE level.

## Properties
total moment	0.00	μB/f.u.
V	193	Å³/cell
distance to the lowest polymorph of the same formula	0	meV/atom

a = 8.1378 Å, b = 8.1378 Å, c = 4.9600 Å
α = 90.00°, β = 90.00°, γ = 143.91°
Sites, in units of the cell vectors:
1 Tb 0.1633 0.8367 0.0000
2 Tb 0.8367 0.1633 0.0000
3 Pr 0.0000 0.0000 0.5000
4 Pr 0.3311 0.6689 0.5000
5 Pr 0.6689 0.3311 0.5000
6 Tl 0.5000 0.5000 0.0000